# 1
VASP calculation (PBE) on an optimized crystal structure of K2AlZn2.

Calculated total energy: -1.521 eV/atom
E_form: 176 meV per atom
Spin magnetization: 0.0000 μB per atom

```
data_K2AlZn2
_space_group_name_H-M_alt 'P 4/m b m'
_space_group_IT_number 127
_space_group_name_Hall '-P 4 2ab'
_cell_length_a 7.003
_cell_length_b 7.003
_cell_length_c 5.828
_cell_angle_alpha 90.00
_cell_angle_beta 90.00
_cell_angle_gamma 90.00
loop_
_atom_site_label
_atom_site_type_symbol
_atom_site_fract_x
_atom_site_fract_y
_atom_site_fract_z
_atom_site_occupancy
K1 K 0.182 0.318 0.000 1
Al1 Al 0.000 0.000 0.500 1
Zn1 Zn 0.138 0.638 0.500 1
```

=====

# 2
VASP calculation (PBE) on an optimized crystal structure of Y3Er7Mg.

Calculated total energy: -4.610 eV/atom
E_form: 201 meV per atom
Spin magnetization: 0.0000 μB per atom

```
data_Y3Er7Mg
_space_group_name_H-M_alt 'P 3 m 1'
_space_group_IT_number 156
_space_group_name_Hall 'P 3 -2"'
_cell_length_a 6.9347
_cell_length_b 6.9347
_cell_length_c 8.5243
_cell_angle_alpha 90.00
_cell_angle_beta 90.00
_cell_angle_gamma 120.00
loop_
_atom_site_label
_atom_site_type_symbol
_atom_site_fract_x
_atom_site_fract_y
_atom_site_fract_z
_atom_site_occupancy
Y1 Y 0.1681 0.3363 0.0000 1
Er1 Er 0.0059 0.5029 0.3405 1
Er2 Er 0.3326 0.1663 0.6640 1
Er3 Er 0.3333 0.6667 0.6677 1
Mg1 Mg 0.0000 0.0000 0.3391 1
```

=====

# 3
VASP calculation (PBE) on an optimized crystal structure of TbSmHo2Er4.

Calculated total energy: -4.574 eV/atom
E_form: 21 meV per atom
Spin magnetization: 0.0000 μB per atom

```
data_TbSmHo2Er4
_space_group_name_H-M_alt 'P 4/m m m'
_space_group_IT_number 123
_space_group_name_Hall '-P 4 2'
_cell_length_a 4.993
_cell_length_b 4.993
_cell_length_c 9.983
_cell_angle_alpha 90.00
_cell_angle_beta 90.00
_cell_angle_gamma 90.00
loop_
_atom_site_label
_atom_site_type_symbol
_atom_site_fract_x
_atom_site_fract_y
_atom_site_fract_z
_atom_site_occupancy
Tb1 Tb 0.000 0.000 0.000 1
Sm1 Sm 0.500 0.500 0.500 1
Ho1 Ho 0.000 0.000 0.500 1
Ho2 Ho 0.500 0.500 0.000 1
Er1 Er 0.000 0.500 0.249 1
```

=====

# 4
VASP calculation (PBE) on an optimized crystal structure of TiAsBr3.

Calculated total energy: -3.730 eV/atom
Energy relative to the elements, uncorrected: -217 meV/atom
Spin magnetization: 0.8000 μB per atom
Energy above the lowest structure with this stoichiometry: 0 meV per atom

```
data_TiAsBr3
_space_group_name_H-M_alt 'P m -3 m'
_space_group_IT_number 221
_space_group_name_Hall '-P 4 2 3'
_cell_length_a 5.217
_cell_length_b 5.217
_cell_length_c 5.217
_cell_angle_alpha 90.00
_cell_angle_beta 90.00
_cell_angle_gamma 90.00
loop_
_atom_site_label
_atom_site_type_symbol
_atom_site_fract_x
_atom_site_fract_y
_atom_site_fract_z
_atom_site_occupancy
Ti1 Ti 0.000 0.000 0.000 1
As1 As 0.500 0.500 0.500 1
Br1 Br 0.000 0.000 0.500 1
```

=====

# 5
VASP calculation (PBE) on an optimized crystal structure of MnGa2Br2Cl6.

Calculated total energy: -3.520 eV/atom
Energy relative to the elements, uncorrected: -825 meV/atom
Spin magnetization: 0.0890 μB per atom

```
data_MnGa2Br2Cl6
_space_group_name_H-M_alt 'P -3'
_space_group_IT_number 147
_space_group_name_Hall '-P 3'
_cell_length_a 6.1620
_cell_length_b 6.1620
_cell_length_c 11.2408
_cell_angle_alpha 90.00
_cell_angle_beta 90.00
_cell_angle_gamma 120.00
loop_
_atom_site_label
_atom_site_type_symbol
_atom_site_fract_x
_atom_site_fract_y
_atom_site_fract_z
_atom_site_occupancy
Mn1 Mn 0.0000 0.0000 0.0000 1
Ga1 Ga 0.3333 0.6667 0.8061 1
Br1 Br 0.3333 0.6667 0.6029 1
Cl1 Cl 0.0034 0.3150 0.1232 1
```